# TlZn2Bi2

A geometry-optimized TlZn2Bi2 structure (PBE-GGA, Alexandria).

Properties
- energy (eV/atom) = -2.4180
- V (Å³ per atom) = 26.3
- total moment (μB/f.u.) = 0.00

Structure (CIF):
```
data_TlZn2Bi2
_chemical_formula_sum 'Tl2 Zn4 Bi4'
_cell_length_a 8.7417
_cell_length_b 8.7417
_cell_length_c 3.4456
_cell_angle_alpha 90.00
_cell_angle_beta 90.00
_cell_angle_gamma 90.00
_symmetry_space_group_name_H-M 'P 4/m b m'
_symmetry_Int_Tables_number 127
_symmetry_space_group_name_Hall '-P 4 2ab'
loop_
_atom_site_label
_atom_site_type_symbol
_atom_site_fract_x
_atom_site_fract_y
_atom_site_fract_z
_atom_site_occupancy
Tl1 Tl 0.0000 0.0000 0.0000 1
Zn1 Zn 0.1369 0.3631 0.0000 1
Bi1 Bi 0.1560 0.6560 0.5000 1
```

# AlCd2Se

A geometry-optimized AlCd2Se structure (PBE-GGA, Alexandria).

Properties
- energy (eV/atom) = -2.3577
- V (Å³ per atom) = 22.1
- total moment (μB/f.u.) = 0.00
- ΔE to the lowest computed polymorph (kJ/mol of atoms) = 10.98
- raw formation energy (meV/atom) = -93

Structure (CIF):
```
data_AlCd2Se
_chemical_formula_sum 'Al1 Cd2 Se1'
_cell_length_a 2.9118
_cell_length_b 3.7041
_cell_length_c 8.2069
_cell_angle_alpha 90.00
_cell_angle_beta 90.00
_cell_angle_gamma 90.00
_symmetry_space_group_name_H-M 'P m m 2'
_symmetry_Int_Tables_number 25
_symmetry_space_group_name_Hall 'P 2 -2'
loop_
_atom_site_label
_atom_site_type_symbol
_atom_site_fract_x
_atom_site_fract_y
_atom_site_fract_z
_atom_site_occupancy
Al1 Al 0.0000 0.0000 0.0000 1
Cd1 Cd 0.0000 0.0000 0.5164 1
Cd2 Cd 0.5000 0.5000 0.7680 1
Se1 Se 0.0000 0.5000 0.2173 1
```

# Mg4Ag7Hg

A geometry-optimized Mg4Ag7Hg structure (PBE-GGA, Alexandria).

Properties
- energy (eV/atom) = -2.2395
- V (Å³ per atom) = 20.7
- total moment (μB/f.u.) = 0.00

Structure (CIF):
```
data_Mg4Ag7Hg
_chemical_formula_sum 'Mg8 Ag14 Hg2'
_cell_length_a 10.5545
_cell_length_b 5.1621
_cell_length_c 10.4755
_cell_angle_alpha 90.00
_cell_angle_beta 119.62
_cell_angle_gamma 90.00
_symmetry_space_group_name_H-M 'C 1 2/m 1'
_symmetry_Int_Tables_number 12
_symmetry_space_group_name_Hall '-C 2y'
loop_
_atom_site_label
_atom_site_type_symbol
_atom_site_fract_x
_atom_site_fract_y
_atom_site_fract_z
_atom_site_occupancy
Mg1 Mg 0.0773 0.0000 0.3186 1
Mg2 Mg 0.1665 0.5000 0.7747 1
Ag1 Ag 0.0000 0.0000 0.0000 1
Ag2 Ag 0.1234 0.5000 0.4796 1
Ag3 Ag 0.1772 0.0000 0.6311 1
Ag4 Ag 0.2070 0.0000 0.9145 1
Hg1 Hg 0.0000 0.5000 0.0000 1
```

# AcNd2Pd2

A geometry-optimized AcNd2Pd2 structure (PBE-GGA, Alexandria).

Properties
- energy (eV/atom) = -5.3967
- V (Å³ per atom) = 27.7
- total moment (μB/f.u.) = 0.00
- ΔE to the lowest computed polymorph (kJ/mol of atoms) = 0.78

Structure (CIF):
```
data_AcNd2Pd2
_chemical_formula_sum 'Ac2 Nd4 Pd4'
_cell_length_a 8.2700
_cell_length_b 8.2700
_cell_length_c 4.0489
_cell_angle_alpha 90.00
_cell_angle_beta 90.00
_cell_angle_gamma 90.00
_symmetry_space_group_name_H-M 'P 4/m b m'
_symmetry_Int_Tables_number 127
_symmetry_space_group_name_Hall '-P 4 2ab'
loop_
_atom_site_label
_atom_site_type_symbol
_atom_site_fract_x
_atom_site_fract_y
_atom_site_fract_z
_atom_site_occupancy
Ac1 Ac 0.0000 0.0000 0.0000 1
Nd1 Nd 0.1603 0.3397 0.5000 1
Pd1 Pd 0.1254 0.6254 0.0000 1
```

# Y3IrI3

A geometry-optimized Y3IrI3 structure (PBE-GGA, Alexandria).

Properties
- energy (eV/atom) = -5.8435
- V (Å³ per atom) = 33.4
- total moment (μB/f.u.) = 0.00
- raw formation energy (meV/atom) = -1143

Structure (CIF):
```
data_Y3IrI3
_chemical_formula_sum 'Y6 Ir2 I6'
_cell_length_a 8.8873
_cell_length_b 4.2694
_cell_length_c 12.3456
_cell_angle_alpha 90.00
_cell_angle_beta 93.57
_cell_angle_gamma 90.00
_symmetry_space_group_name_H-M 'P 1 21/m 1'
_symmetry_Int_Tables_number 11
_symmetry_space_group_name_Hall '-P 2yb'
loop_
_atom_site_label
_atom_site_type_symbol
_atom_site_fract_x
_atom_site_fract_y
_atom_site_fract_z
_atom_site_occupancy
Y1 Y 0.0963 0.2500 0.3158 1
Y2 Y 0.1426 0.2500 0.8696 1
Y3 Y 0.2505 0.7500 0.0992 1
Ir1 Ir 0.0483 0.2500 0.0923 1
I1 I 0.1427 0.2500 0.6057 1
I2 I 0.3498 0.7500 0.3604 1
I3 I 0.4288 0.7500 0.8672 1
```

# NbAlIr

A geometry-optimized NbAlIr structure (PBE-GGA, Alexandria).

Properties
- energy (eV/atom) = -8.1607
- V (Å³ per atom) = 15.8
- total moment (μB/f.u.) = 0.00

Structure (CIF):
```
data_NbAlIr
_chemical_formula_sum 'Nb1 Al1 Ir1'
_cell_length_a 4.3565
_cell_length_b 4.3565
_cell_length_c 2.8834
_cell_angle_alpha 90.00
_cell_angle_beta 90.00
_cell_angle_gamma 120.00
_symmetry_space_group_name_H-M 'P -6 m 2'
_symmetry_Int_Tables_number 187
_symmetry_space_group_name_Hall 'P -6 2'
loop_
_atom_site_label
_atom_site_type_symbol
_atom_site_fract_x
_atom_site_fract_y
_atom_site_fract_z
_atom_site_occupancy
Nb1 Nb 0.0000 0.0000 0.0000 1
Al1 Al 0.3333 0.6667 0.5000 1
Ir1 Ir 0.6667 0.3333 0.5000 1
```

# LuFeC2

A geometry-optimized LuFeC2 structure (PBE-GGA, Alexandria).

Properties
- energy (eV/atom) = -7.6600
- V (Å³ per atom) = 10.5
- total moment (μB/f.u.) = 0.02

Structure (CIF):
```
data_LuFeC2
_chemical_formula_sum 'Lu3 Fe3 C6'
_cell_length_a 3.3213
_cell_length_b 3.3213
_cell_length_c 13.1878
_cell_angle_alpha 90.00
_cell_angle_beta 90.00
_cell_angle_gamma 120.00
_symmetry_space_group_name_H-M 'R -3 m'
_symmetry_Int_Tables_number 166
_symmetry_space_group_name_Hall '-R 3 2"'
loop_
_atom_site_label
_atom_site_type_symbol
_atom_site_fract_x
_atom_site_fract_y
_atom_site_fract_z
_atom_site_occupancy
Lu1 Lu 0.0000 0.0000 0.0000 1
Fe1 Fe 0.0000 0.0000 0.5000 1
C1 C 0.0000 0.0000 0.2210 1
```

# PmAgSbAs

A geometry-optimized PmAgSbAs structure (PBE-GGA, Alexandria).

Properties
- energy (eV/atom) = -4.4140
- V (Å³ per atom) = 23.7
- total moment (μB/f.u.) = 0.00
- raw formation energy (meV/atom) = -321

Structure (CIF):
```
data_PmAgSbAs
_chemical_formula_sum 'Pm4 Ag4 Sb4 As4'
_cell_length_a 7.2352
_cell_length_b 7.2352
_cell_length_c 7.2352
_cell_angle_alpha 90.00
_cell_angle_beta 90.00
_cell_angle_gamma 90.00
_symmetry_space_group_name_H-M 'F -4 3 m'
_symmetry_Int_Tables_number 216
_symmetry_space_group_name_Hall 'F -4 2 3'
loop_
_atom_site_label
_atom_site_type_symbol
_atom_site_fract_x
_atom_site_fract_y
_atom_site_fract_z
_atom_site_occupancy
Pm1 Pm 0.0000 0.0000 0.0000 1
Ag1 Ag 0.2500 0.2500 0.2500 1
Sb1 Sb 0.0000 0.0000 0.5000 1
As1 As 0.2500 0.2500 0.7500 1
```

# KAlZn2

A geometry-optimized KAlZn2 structure (PBE-GGA, Alexandria).

Properties
- energy (eV/atom) = -1.6818
- V (Å³ per atom) = 23.2
- total moment (μB/f.u.) = 0.00

Structure (CIF):
```
data_KAlZn2
_chemical_formula_sum 'K1 Al1 Zn2'
_cell_length_a 2.8573
_cell_length_b 4.2646
_cell_length_c 7.7593
_cell_angle_alpha 90.00
_cell_angle_beta 100.45
_cell_angle_gamma 90.00
_symmetry_space_group_name_H-M 'P 1 m 1'
_symmetry_Int_Tables_number 6
_symmetry_space_group_name_Hall 'P -2y'
loop_
_atom_site_label
_atom_site_type_symbol
_atom_site_fract_x
_atom_site_fract_y
_atom_site_fract_z
_atom_site_occupancy
K1 K 0.0000 0.0000 0.0000 1
Al1 Al 0.3275 0.5000 0.6480 1
Zn1 Zn 0.6520 0.5000 0.3114 1
Zn2 Zn 0.7663 0.0000 0.5199 1
```

# K3Cu2F7

A geometry-optimized K3Cu2F7 structure (PBE-GGA, Alexandria).

Properties
- energy (eV/atom) = -4.2631
- V (Å³ per atom) = 14.8
- total moment (μB/f.u.) = 1.94
- raw formation energy (meV/atom) = -2214

Structure (CIF):
```
data_K3Cu2F7
_chemical_formula_sum 'K6 Cu4 F14'
_cell_length_a 4.0919
_cell_length_b 4.0919
_cell_length_c 21.2480
_cell_angle_alpha 90.00
_cell_angle_beta 90.00
_cell_angle_gamma 90.00
_symmetry_space_group_name_H-M 'I 4/m m m'
_symmetry_Int_Tables_number 139
_symmetry_space_group_name_Hall '-I 4 2'
loop_
_atom_site_label
_atom_site_type_symbol
_atom_site_fract_x
_atom_site_fract_y
_atom_site_fract_z
_atom_site_occupancy
K1 K 0.0000 0.0000 0.0000 1
K2 K 0.0000 0.0000 0.1841 1
Cu1 Cu 0.0000 0.0000 0.4041 1
F1 F 0.0000 0.0000 0.3089 1
F2 F 0.0000 0.0000 0.5000 1
F3 F 0.0000 0.5000 0.0948 1
```

# Sm2MgRuC

A geometry-optimized Sm2MgRuC structure (PBE-GGA, Alexandria).

Properties
- energy (eV/atom) = -6.1462
- V (Å³ per atom) = 21.2
- total moment (μB/f.u.) = 0.00

Structure (CIF):
```
data_Sm2MgRuC
_chemical_formula_sum 'Sm2 Mg1 Ru1 C1'
_cell_length_a 5.1785
_cell_length_b 5.1785
_cell_length_c 3.9451
_cell_angle_alpha 90.00
_cell_angle_beta 90.00
_cell_angle_gamma 90.00
_symmetry_space_group_name_H-M 'P 4/m m m'
_symmetry_Int_Tables_number 123
_symmetry_space_group_name_Hall '-P 4 2'
loop_
_atom_site_label
_atom_site_type_symbol
_atom_site_fract_x
_atom_site_fract_y
_atom_site_fract_z
_atom_site_occupancy
Sm1 Sm 0.0000 0.5000 0.0000 1
Mg1 Mg 0.0000 0.0000 0.5000 1
Ru1 Ru 0.5000 0.5000 0.5000 1
C1 C 0.5000 0.5000 0.0000 1
```

# Mg3AgF

A geometry-optimized Mg3AgF structure (PBE-GGA, Alexandria).

Properties
- energy (eV/atom) = -2.1803
- V (Å³ per atom) = 26.8
- total moment (μB/f.u.) = 0.00
- ΔE to the lowest computed polymorph (kJ/mol of atoms) = 52.33
- raw formation energy (meV/atom) = -279

Structure (CIF):
```
data_Mg3AgF
_chemical_formula_sum 'Mg3 Ag1 F1'
_cell_length_a 5.1178
_cell_length_b 5.1178
_cell_length_c 5.1178
_cell_angle_alpha 90.00
_cell_angle_beta 90.00
_cell_angle_gamma 90.00
_symmetry_space_group_name_H-M 'P m -3 m'
_symmetry_Int_Tables_number 221
_symmetry_space_group_name_Hall '-P 4 2 3'
loop_
_atom_site_label
_atom_site_type_symbol
_atom_site_fract_x
_atom_site_fract_y
_atom_site_fract_z
_atom_site_occupancy
Mg1 Mg 0.0000 0.0000 0.5000 1
Ag1 Ag 0.0000 0.0000 0.0000 1
F1 F 0.5000 0.5000 0.5000 1
```

> Look up the V of the second one.

22.1 Å³ per atom

> Look up the energy of the ninth one.

-1.6818 eV/atom

> Look up the V of the sixth one.

15.8 Å³ per atom

> Which formula does entry 5 have?

Y3IrI3